Density functional theory data (PBE-GGA) for a relaxed structure of KBP.

extended XYZ file:
```
12
Lattice="-3.0599 -3.8380 -3.9425 1.3487 -4.5255 3.3587 -5.2978 1.0300 3.1092" Properties=species:S:1:pos:R:3 pbc="T T T"
P -4.4919 -1.2218 0.9255
K -2.3466 -3.1765 2.7590
B -4.7595 -0.0601 2.4405
K -4.6624 -4.1569 -0.2335
B -2.2495 -7.2734 0.0850
P -5.9189 -6.5410 2.1845
B -4.1671 -5.8412 2.5817
B -2.8419 -1.4923 -0.0563
P -2.5171 -6.1117 1.6000
P -1.0901 -0.7924 0.3410
K -1.7952 -4.3980 -1.5067
K -5.2138 -2.9354 4.0322
```

Its raw total energy is -4.42 eV/atom. The value obtained for the formation energy is -0.03 eV/atom. For the density of states at the Fermi level, the calculation gives 0.74 states/eV/cell.

Density functional theory data (PBE-GGA) for a relaxed structure of MgNiW.

extended XYZ file:
```
6
Lattice="-0.6390 -2.1074 1.5564 5.8764 -0.9368 -1.2146 0.1219 3.4840 4.7847" Properties=species:S:1:pos:R:3 pbc="T T T"
W 3.3973 -0.3730 2.5396
Mg 0.8014 -1.9218 1.7185
Mg 3.6324 1.2776 4.8973
Ni 5.3995 -0.4697 0.8972
Ni 5.5511 0.9939 2.9487
W 1.0369 -0.2741 4.0780
```

Its raw total energy is -6.62 eV/atom. The value obtained for the formation energy is 0.16 eV/atom. For the density of states at the Fermi level, the calculation gives 2.78 states/eV/cell.